# 1
First-principles (GGA-PBE) data for crystalline Na12CdHg6 at its relaxed geometry, as listed in Alexandria via LeMat-Bulk.

Cell lengths 8.956, 8.956, 8.956 Å; angles 110.99, 110.99, 110.99 degrees
Positions (direct):
1 Na 0.478 0.202 0.329
2 Na 0.202 0.329 0.478
3 Na 0.176 0.745 0.119
4 Na 0.522 0.798 0.671
5 Na 0.329 0.478 0.202
6 Na 0.824 0.255 0.881
7 Na 0.745 0.119 0.176
8 Na 0.255 0.881 0.824
9 Na 0.119 0.176 0.745
10 Na 0.671 0.522 0.798
11 Na 0.881 0.824 0.255
12 Na 0.798 0.671 0.522
13 Hg 0.649 0.952 0.426
14 Hg 0.351 0.048 0.574
15 Hg 0.574 0.351 0.048
16 Hg 0.952 0.426 0.649
17 Hg 0.426 0.649 0.952
18 Hg 0.048 0.574 0.351
19 Cd 0.000 0.000 0.000

Output
Energy above the lowest structure with this stoichiometry in eV per atom: 0.003
Space-group type: R-3, No. 148
Calculated total energy in eV per atom: -1.139



# 2
First-principles (GGA-PBE) data for crystalline NaCd2Hg2 at its relaxed geometry, as listed in Alexandria via LeMat-Bulk.

Cell lengths 8.542, 8.542, 3.467 Å; angles 90.00, 90.00, 90.00 degrees
Positions (direct):
1 Cd 0.125 0.375 0.000
2 Cd 0.625 0.125 0.000
3 Cd 0.875 0.625 0.000
4 Cd 0.375 0.875 0.000
5 Hg 0.675 0.825 0.500
6 Hg 0.175 0.675 0.500
7 Hg 0.325 0.175 0.500
8 Hg 0.825 0.325 0.500
9 Na 0.000 0.000 0.000
10 Na 0.500 0.500 0.000

Output
Energy above the lowest structure with this stoichiometry in eV per atom: 0.029
Space-group type: P4/mbm, No. 127
Calculated total energy in eV per atom: -0.834



# 3
First-principles (GGA-PBE) data for crystalline NaCd11Hg17 at its relaxed geometry, as listed in Alexandria via LeMat-Bulk.

Cell lengths 10.118, 10.118, 9.482 Å; angles 112.41, 112.41, 104.18 degrees
Positions (direct):
1 Cd 0.604 0.795 0.978
2 Cd 0.228 0.419 0.429
3 Cd 0.602 0.991 0.808
4 Cd 0.772 0.968 0.601
5 Cd 0.795 0.604 0.978
6 Cd 0.991 0.602 0.808
7 Cd 0.968 0.772 0.601
8 Cd 0.136 0.136 0.756
9 Cd 0.419 0.228 0.429
10 Cd 0.862 0.201 0.193
11 Cd 0.201 0.862 0.193
12 Hg 0.312 0.013 0.589
13 Hg 0.315 0.617 0.023
14 Hg 0.321 0.044 0.014
15 Hg 0.987 0.987 0.320
16 Hg 0.622 0.622 0.632
17 Hg 0.723 0.268 0.720
18 Hg 0.398 0.730 0.411
19 Hg 0.617 0.315 0.023
20 Hg 0.020 0.595 0.295
21 Hg 0.956 0.956 0.959
22 Hg 0.396 0.396 0.768
23 Hg 0.694 0.694 0.255
24 Hg 0.044 0.321 0.014
25 Hg 0.013 0.312 0.589
26 Hg 0.730 0.398 0.411
27 Hg 0.595 0.020 0.295
28 Hg 0.268 0.723 0.720
29 Na 0.412 0.412 0.192

Output
Space-group type: Cm, No. 8
Calculated total energy in eV per atom: -0.561



# 4
First-principles (GGA-PBE) data for crystalline Na2Cd3Hg8 at its relaxed geometry, as listed in Alexandria via LeMat-Bulk.

Cell lengths 5.523, 8.038, 8.038 Å; angles 82.76, 76.00, 76.00 degrees
Positions (direct):
1 Hg 0.784 0.428 0.428
2 Hg 0.653 0.082 0.597
3 Hg 0.216 0.572 0.572
4 Hg 0.653 0.597 0.082
5 Hg 0.932 0.148 0.148
6 Hg 0.347 0.918 0.403
7 Hg 0.347 0.403 0.918
8 Hg 0.068 0.852 0.852
9 Na 0.641 0.702 0.702
10 Na 0.359 0.298 0.298
11 Cd 0.000 0.251 0.749
12 Cd 0.000 0.749 0.251
13 Cd 0.500 0.000 0.000

Output
Energy above the lowest structure with this stoichiometry in eV per atom: 0.000
Space-group type: C2/m, No. 12
Calculated total energy in eV per atom: -0.677



# 5
First-principles (GGA-PBE) data for crystalline Na4CdHg at its relaxed geometry, as listed in Alexandria via LeMat-Bulk.

Cell lengths 3.404, 9.077, 5.705 Å; angles 89.98, 90.00, 90.00 degrees
Positions (direct):
1 Hg 0.000 0.000 0.000
2 Na 0.000 0.817 0.499
3 Na 0.500 0.688 0.999
4 Na 0.500 0.312 0.001
5 Na 0.000 0.183 0.501
6 Cd 0.500 0.500 0.500

Output
Energy above the lowest structure with this stoichiometry in eV per atom: 0.001
Space-group type: P2/m, No. 10
Calculated total energy in eV per atom: -1.154



# 6
First-principles (GGA-PBE) data for crystalline Na12Cd5Hg2 at its relaxed geometry, as listed in Alexandria via LeMat-Bulk.

Cell lengths 10.792, 8.281, 8.532 Å; angles 78.93, 90.00, 130.66 degrees
Positions (direct):
1 Na 0.997 0.648 0.819
2 Na 0.003 0.352 0.181
3 Na 0.349 0.352 0.181
4 Na 0.152 0.785 0.387
5 Na 0.395 0.790 0.730
6 Na 0.633 0.785 0.387
7 Na 0.367 0.215 0.613
8 Na 0.605 0.210 0.270
9 Na 0.848 0.215 0.613
10 Na 0.651 0.648 0.819
11 Na 0.894 0.788 0.158
12 Na 0.106 0.212 0.842
13 Cd 0.241 0.482 0.466
14 Cd 0.612 0.224 0.870
15 Cd 0.000 0.000 0.500
16 Cd 0.388 0.776 0.130
17 Cd 0.759 0.518 0.534
18 Hg 0.260 0.000 0.000
19 Hg 0.740 0.000 0.000

Output
Energy above the lowest structure with this stoichiometry in eV per atom: 0.000
Space-group type: C2/m, No. 12
Calculated total energy in eV per atom: -1.207



no.,ΔH_f (0 K) (meV per atom),DOS at the Fermi energy (states/eV/cell)
1,-162.1,5.648
2,-83.7,3.889
3,8.5,9.098
4,-77.1,2.620
5,-71.4,2.721
6,-101.7,8.146